Record 1
VASP calculation (PBE) on a geometry-optimized BeInNiIr structure.

Cell: 5.995 5.995 5.995 Å, 90.00 90.00 90.00°
Element x y z (fractional)
Be 0.000 0.000 0.000
Be 0.000 0.500 0.500
Be 0.500 0.000 0.500
Be 0.500 0.500 0.000
In 0.250 0.250 0.250
In 0.250 0.750 0.750
In 0.750 0.250 0.750
In 0.750 0.750 0.250
Ni 0.000 0.000 0.500
Ni 0.000 0.500 0.000
Ni 0.500 0.000 0.000
Ni 0.500 0.500 0.500
Ir 0.250 0.250 0.750
Ir 0.250 0.750 0.250
Ir 0.750 0.250 0.250
Ir 0.750 0.750 0.750

Calculated values
electronic total energy = -0.3844 Ry per atom

***

Record 2
VASP calculation (PBE) on a geometry-optimized BeInSiIr structure.

Cell: 6.165 6.165 6.165 Å, 90.00 90.00 90.00°
Element x y z (fractional)
Be 0.000 0.000 0.000
Be 0.000 0.500 0.500
Be 0.500 0.000 0.500
Be 0.500 0.500 0.000
In 0.250 0.250 0.250
In 0.250 0.750 0.750
In 0.750 0.250 0.750
In 0.750 0.750 0.250
Si 0.000 0.000 0.500
Si 0.000 0.500 0.000
Si 0.500 0.000 0.000
Si 0.500 0.500 0.500
Ir 0.250 0.250 0.750
Ir 0.250 0.750 0.250
Ir 0.750 0.250 0.250
Ir 0.750 0.750 0.750

Calculated values
ΔE to the lowest computed polymorph = 0.000 eV per atom

***

Record 3
VASP calculation (PBE) on a geometry-optimized BeInSiIr structure.

Cell: 6.223 6.223 6.223 Å, 90.00 90.00 90.00°
Element x y z (fractional)
Be 0.000 0.000 0.000
Be 0.000 0.500 0.500
Be 0.500 0.000 0.500
Be 0.500 0.500 0.000
In 0.250 0.250 0.750
In 0.250 0.750 0.250
In 0.750 0.250 0.250
In 0.750 0.750 0.750
Si 0.250 0.250 0.250
Si 0.250 0.750 0.750
Si 0.750 0.250 0.750
Si 0.750 0.750 0.250
Ir 0.000 0.000 0.500
Ir 0.000 0.500 0.000
Ir 0.500 0.000 0.000
Ir 0.500 0.500 0.500

Calculated values
ΔE to the lowest computed polymorph = 0.040 eV per atom

***

Record 4
VASP calculation (PBE) on a geometry-optimized LaBeInNi structure.

Cell: 6.715 6.715 6.715 Å, 90.00 90.00 90.00°
Element x y z (fractional)
La 0.000 0.000 0.000
La 0.000 0.500 0.500
La 0.500 0.000 0.500
La 0.500 0.500 0.000
Be 0.250 0.250 0.250
Be 0.250 0.750 0.750
Be 0.750 0.250 0.750
Be 0.750 0.750 0.250
In 0.000 0.000 0.500
In 0.000 0.500 0.000
In 0.500 0.000 0.000
In 0.500 0.500 0.500
Ni 0.250 0.250 0.750
Ni 0.250 0.750 0.250
Ni 0.750 0.250 0.250
Ni 0.750 0.750 0.750

Calculated values
ΔE to the lowest computed polymorph = 0.000 eV per atom

***

Record 5
VASP calculation (PBE) on a geometry-optimized LaBeInNi structure.

Cell: 6.848 6.848 6.848 Å, 90.00 90.00 90.00°
Element x y z (fractional)
La 0.000 0.000 0.000
La 0.000 0.500 0.500
La 0.500 0.000 0.500
La 0.500 0.500 0.000
Be 0.000 0.000 0.500
Be 0.000 0.500 0.000
Be 0.500 0.000 0.000
Be 0.500 0.500 0.500
In 0.250 0.250 0.250
In 0.250 0.750 0.750
In 0.750 0.250 0.750
In 0.750 0.750 0.250
Ni 0.250 0.250 0.750
Ni 0.250 0.750 0.250
Ni 0.750 0.250 0.250
Ni 0.750 0.750 0.750

Calculated values
ΔE to the lowest computed polymorph = 0.267 eV per atom

***

Record 6
VASP calculation (PBE) on a geometry-optimized LaBeInPd structure.

Cell: 6.889 6.889 6.889 Å, 90.00 90.00 90.00°
Element x y z (fractional)
La 0.000 0.000 0.000
La 0.000 0.500 0.500
La 0.500 0.000 0.500
La 0.500 0.500 0.000
Be 0.250 0.250 0.750
Be 0.250 0.750 0.250
Be 0.750 0.250 0.250
Be 0.750 0.750 0.750
In 0.000 0.000 0.500
In 0.000 0.500 0.000
In 0.500 0.000 0.000
In 0.500 0.500 0.500
Pd 0.250 0.250 0.250
Pd 0.250 0.750 0.750
Pd 0.750 0.250 0.750
Pd 0.750 0.750 0.250

Calculated values
ΔE to the lowest computed polymorph = 0.000 eV per atom

***

no.,M_tot (μB per cell)
1,0.0
2,0.0
3,0.0
4,0.1
5,0.0
6,0.0